[1]
Crystalline V2H2Os at its relaxed geometry, computed with GGA-PBE.

a = 2.8536 Å, b = 2.8536 Å, c = 5.9193 Å
α = 90.00°, β = 90.00°, γ = 90.00°
Space group P4/mmm (No. 123)
Asymmetric unit:
V 0.0000 0.0000 0.2180 (multiplicity 2)
H 0.0000 0.5000 0.0000 (multiplicity 2)
Os 0.5000 0.5000 0.5000 (multiplicity 1)

Calculated values
**E**: -0.2705 hartree per atom
**Total magnetization**: 0.001 Bohr magnetons per cell
**DOS(E_F)**: 0.810 states/eV/atom
**Crystal system**: tetragonal
**Energy above the most stable polymorph in this dataset**: 104 meV/atom

[2]
Crystalline Na5OF4 at its relaxed geometry, computed with GGA-PBE.

a = 7.4914 Å, b = 7.4914 Å, c = 4.7342 Å
α = 90.00°, β = 90.00°, γ = 90.00°
Space group I4/m (No. 87)
Asymmetric unit:
Na 0.0000 0.0000 0.0000 (multiplicity 2)
Na 0.1047 0.6941 0.5000 (multiplicity 8)
O 0.0000 0.0000 0.5000 (multiplicity 2)
F 0.1030 0.6966 0.0000 (multiplicity 8)

Calculated values
**Uncorrected formation energy**: -2279 meV per atom
**E**: -0.1537 hartree per atom
**Total magnetization**: 2.000 Bohr magnetons per cell
**DOS(E_F)**: 0.777 states/eV/atom
**Crystal system**: tetragonal

[3]
Crystalline Ti8Bi2W at its relaxed geometry, computed with GGA-PBE.

a = 14.4974 Å, b = 4.7377 Å, c = 6.4323 Å
α = 90.00°, β = 111.39°, γ = 90.00°
Space group C2/m (No. 12)
Asymmetric unit:
Ti 0.0075 0.0000 0.2489 (multiplicity 4)
Ti 0.1005 0.5000 0.9134 (multiplicity 4)
Ti 0.1458 0.5000 0.3836 (multiplicity 4)
Ti 0.1598 0.0000 0.6645 (multiplicity 4)
Bi 0.1944 0.0000 0.1701 (multiplicity 4)
W 0.0000 0.5000 0.5000 (multiplicity 2)

Calculated values
**E**: -0.2808 hartree per atom
**Total magnetization**: 0.002 Bohr magnetons per cell
**DOS(E_F)**: 1.122 states/eV/atom
**Crystal system**: monoclinic
**ΔE_f**: -0.19 eV per formula unit

[4]
Crystalline Tb2Pr2Dy3 at its relaxed geometry, computed with GGA-PBE.

a = 16.8056 Å, b = 3.5174 Å, c = 8.7952 Å
α = 90.00°, β = 116.20°, γ = 90.00°
Space group C2/m (No. 12)
Asymmetric unit:
Tb 0.1399 0.0000 0.4065 (multiplicity 4)
Pr 0.0795 0.5000 0.7027 (multiplicity 4)
Dy 0.0000 0.5000 0.0000 (multiplicity 2)
Dy 0.2204 0.5000 0.1469 (multiplicity 4)

Calculated values
**E**: -0.1665 hartree per atom
**Total magnetization**: 0.000 Bohr magnetons per cell
**DOS(E_F)**: 1.665 states/eV/atom
**Crystal system**: monoclinic
**Energy above the most stable polymorph in this dataset**: 0 meV/atom
**ΔE_f**: 0.91 eV per formula unit

[5]
Crystalline Fe2Te at its relaxed geometry, computed with GGA-PBE.

a = 3.6332 Å, b = 3.6332 Å, c = 14.9478 Å
α = 90.00°, β = 90.00°, γ = 90.00°
Space group I4_1/amd (No. 141, origin choice 2)
Asymmetric unit:
Fe 0.0000 0.2500 0.2947 (multiplicity 8)
Te 0.0000 0.2500 0.8750 (multiplicity 4)

Calculated values
**Uncorrected formation energy**: 556 meV per atom
**E**: -0.2254 hartree per atom
**Total magnetization**: 16.039 Bohr magnetons per cell
**DOS(E_F)**: 1.084 states/eV/atom
**Crystal system**: tetragonal

[6]
Crystalline La2MgAl2 at its relaxed geometry, computed with GGA-PBE.

a = 9.1323 Å, b = 9.1323 Å, c = 3.4393 Å
α = 90.00°, β = 90.00°, γ = 90.00°
Space group P4/mbm (No. 127)
Asymmetric unit:
La 0.1826 0.3174 0.0000 (multiplicity 4)
Mg 0.0000 0.0000 0.0000 (multiplicity 2)
Al 0.1060 0.6060 0.5000 (multiplicity 4)

Calculated values
**E**: -0.1409 hartree per atom
**Total magnetization**: 0.000 Bohr magnetons per cell
**DOS(E_F)**: 0.853 states/eV/atom
**Crystal system**: tetragonal
**Energy above the most stable polymorph in this dataset**: 265 meV/atom
**ΔE_f**: -0.23 eV per formula unit

[7]
Crystalline Dy3Tl2Ag4 at its relaxed geometry, computed with GGA-PBE.

a = 10.8546 Å, b = 4.8981 Å, c = 9.1368 Å
α = 90.00°, β = 120.45°, γ = 90.00°
Space group C2/m (No. 12)
Asymmetric unit:
Dy 0.0000 0.0000 0.0000 (multiplicity 2)
Dy 0.1625 0.5000 0.6728 (multiplicity 4)
Tl 0.1191 0.5000 0.2835 (multiplicity 4)
Ag 0.0549 0.0000 0.3917 (multiplicity 4)
Ag 0.2285 0.5000 0.0565 (multiplicity 4)

Calculated values
**E**: -0.1317 hartree per atom
**Total magnetization**: 0.000 Bohr magnetons per cell
**DOS(E_F)**: 0.533 states/eV/atom
**Crystal system**: monoclinic
**ΔE_f**: -2.32 eV per formula unit

[8]
Crystalline Dy4InRu at its relaxed geometry, computed with GGA-PBE.

a = 6.9061 Å, b = 6.9062 Å, c = 7.3470 Å
α = 90.00°, β = 90.12°, γ = 90.00°
Space group C2/m (No. 12)
Asymmetric unit:
Dy 0.2495 0.2498 0.2234 (multiplicity 8)
In 0.0000 0.0000 0.5000 (multiplicity 2)
Ru 0.0000 0.5000 0.0000 (multiplicity 2)

Calculated values
**E**: -0.1931 hartree per atom
**Total magnetization**: 0.000 Bohr magnetons per cell
**DOS(E_F)**: 1.125 states/eV/atom
**Crystal system**: monoclinic
**Energy above the most stable polymorph in this dataset**: 218 meV/atom
**ΔE_f**: -1.11 eV per formula unit

[9]
Crystalline Na2ReSiAu at its relaxed geometry, computed with GGA-PBE.

a = 5.2009 Å, b = 5.2009 Å, c = 4.5708 Å
α = 90.00°, β = 90.00°, γ = 90.00°
Space group P4/mmm (No. 123)
Asymmetric unit:
Na 0.0000 0.5000 0.0000 (multiplicity 2)
Re 0.0000 0.0000 0.5000 (multiplicity 1)
Si 0.0000 0.0000 0.0000 (multiplicity 1)
Au 0.5000 0.5000 0.5000 (multiplicity 1)

Calculated values
**Uncorrected formation energy**: 887 meV per atom
**E**: -0.1422 hartree per atom
**Total magnetization**: 1.938 Bohr magnetons per cell
**DOS(E_F)**: 0.581 states/eV/atom
**Crystal system**: tetragonal

[10]
Crystalline KCuIr at its relaxed geometry, computed with GGA-PBE.

a = 6.4505 Å, b = 6.4505 Å, c = 6.4505 Å
α = 90.00°, β = 90.00°, γ = 90.00°
Space group F-43m (No. 216)
Asymmetric unit:
K 0.0000 0.0000 0.0000 (multiplicity 4)
Cu 0.2500 0.2500 0.2500 (multiplicity 4)
Ir 0.0000 0.0000 0.5000 (multiplicity 4)

Calculated values
**E**: -0.1245 hartree per atom
**Total magnetization**: 4.158 Bohr magnetons per cell
**DOS(E_F)**: 1.853 states/eV/atom
**Crystal system**: cubic
**Energy above the most stable polymorph in this dataset**: 889 meV/atom
**ΔE_f**: 3.89 eV per formula unit

[11]
Crystalline Pm4NdSm6 at its relaxed geometry, computed with GGA-PBE.

a = 6.6907 Å, b = 6.6907 Å, c = 17.3522 Å
α = 90.00°, β = 90.00°, γ = 90.00°
Space group I-42m (No. 121)
Asymmetric unit:
Pm 0.1895 0.1895 0.1774 (multiplicity 8)
Nd 0.0000 0.0000 0.0000 (multiplicity 2)
Sm 0.0000 0.5000 0.0000 (multiplicity 4)
Sm 0.1781 0.1781 0.3723 (multiplicity 8)

Calculated values
**E**: -0.1632 hartree per atom
**Total magnetization**: 0.000 Bohr magnetons per cell
**DOS(E_F)**: 1.593 states/eV/atom
**Crystal system**: tetragonal
**Energy above the most stable polymorph in this dataset**: 0 meV/atom
**ΔE_f**: 3.23 eV per formula unit

[12]
Crystalline PrCdPt at its relaxed geometry, computed with GGA-PBE.

a = 3.7644 Å, b = 3.7644 Å, c = 9.9620 Å
α = 90.00°, β = 90.00°, γ = 90.00°
Space group I4mm (No. 107)
Asymmetric unit:
Pr 0.0000 0.0000 0.0000 (multiplicity 2)
Cd 0.0000 0.0000 0.3056 (multiplicity 2)
Pt 0.0000 0.0000 0.6530 (multiplicity 2)

Calculated values
**E**: -0.1668 hartree per atom
**Total magnetization**: 0.000 Bohr magnetons per cell
**DOS(E_F)**: 0.526 states/eV/atom
**Crystal system**: tetragonal
**ΔE_f**: -1.88 eV per formula unit